[1]
Here is crystalline AcPm2Al at its relaxed geometry from the Alexandria database. Energies are from GGA-PBE.

Cell and atoms, written as extended XYZ:
```
4
Lattice="3.683 0.000 0.000 1.842 3.190 0.000 1.842 1.063 11.844" Properties=species:S:1:pos:R:3 pbc="T T T"
Ac 0.000 0.000 0.000
Al 3.683 2.126 5.922
Pm 5.525 3.190 3.695
Pm 1.842 1.063 8.150
```

- DFT formation energy: 0.092 eV per atom
- Mass density: 6.49 g cm⁻³
- Total moment: 0.000 μB per formula unit
- Calculated volume: 34.785 Å³/atom
- DFT total energy: -4.2460 eV per atom
- Energy above the lowest structure with this stoichiometry: 0.239 eV/atom

[2]
Here is crystalline AcPmAl2 at its relaxed geometry from the Alexandria database. Energies are from GGA-PBE.

Cell and atoms, written as extended XYZ:
```
16
Lattice="7.246 0.000 0.000 0.000 7.530 0.000 0.000 0.000 9.004" Properties=species:S:1:pos:R:3 pbc="T T T"
Pm 5.435 2.408 6.143
Pm 1.812 5.123 2.861
Pm 1.812 1.357 1.641
Pm 5.435 6.173 7.363
Al 3.151 6.303 0.359
Al 4.095 1.227 8.645
Al 3.151 2.538 4.143
Al 6.774 1.227 8.645
Al 0.472 6.303 0.359
Al 4.095 4.993 4.861
Al 6.774 4.993 4.861
Al 0.472 2.538 4.143
Ac 1.812 3.770 7.364
Ac 5.435 3.761 1.640
Ac 5.435 7.526 2.862
Ac 1.812 0.005 6.142
```

- DFT formation energy: -0.250 eV per atom
- Mass density: 5.76 g cm⁻³
- Total moment: 0.000 μB per formula unit
- Calculated volume: 30.707 Å³/atom
- DFT total energy: -4.3361 eV per atom
- Energy above the lowest structure with this stoichiometry: 0.083 eV/atom

[3]
Here is crystalline AcPm4Al4 at its relaxed geometry from the Alexandria database. Energies are from GGA-PBE.

Cell and atoms, written as extended XYZ:
```
18
Lattice="5.989 0.000 0.000 0.000 9.330 0.000 0.000 0.000 9.330" Properties=species:S:1:pos:R:3 pbc="T T T"
Pm 0.820 0.780 6.110
Pm 5.169 6.110 8.550
Pm 3.814 7.885 5.444
Pm 0.820 8.550 3.220
Pm 2.175 5.444 1.445
Pm 3.814 1.445 3.885
Pm 5.169 3.220 0.780
Pm 2.175 3.885 7.885
Al 0.757 2.508 3.457
Al 5.232 3.457 6.822
Al 2.237 7.173 8.122
Al 0.757 6.822 5.873
Al 3.752 1.208 7.173
Al 3.752 8.122 2.157
Al 5.232 5.873 2.508
Al 2.237 2.157 1.208
Ac 2.994 4.665 4.665
Ac 0.000 0.000 0.000
```

- DFT formation energy: -0.084 eV per atom
- Mass density: 5.83 g cm⁻³
- Total moment: 0.000 μB per formula unit
- Calculated volume: 28.960 Å³/atom
- DFT total energy: -4.3149 eV per atom

[4]
Here is crystalline AcPmPrAl at its relaxed geometry from the Alexandria database. Energies are from GGA-PBE.

Cell and atoms, written as extended XYZ:
```
4
Lattice="5.636 0.000 0.000 2.818 4.881 0.000 2.818 1.627 4.602" Properties=species:S:1:pos:R:3 pbc="T T T"
Al 0.000 0.000 0.000
Pr 8.454 4.881 3.452
Ac 5.636 3.254 2.301
Pm 2.818 1.627 1.151
```

- DFT formation energy: 0.043 eV per atom
- Mass density: 7.08 g cm⁻³
- Total moment: 0.001 μB per formula unit
- Calculated volume: 31.652 Å³/atom
- DFT total energy: -4.3024 eV per atom